# KYMo2

An optimized crystal structure of KYMo2 (PBE-GGA, Alexandria).

Properties
Crystal system: trigonal
Energy relative to the elements: 1170.9 meV/atom
Energy above the most stable polymorph in this dataset: 637 meV/atom

abc: 3.0207 3.0207 34.0107
angles: 90.00 90.00 120.00
Space group R-3m (No. 166, hexagonal axes)
Asymmetric unit:
K 0.0000 0.0000 0.0000
Y 0.0000 0.0000 0.5000
Mo 0.0000 0.0000 0.2426

***

# Ce6ZrIn5

An optimized crystal structure of Ce6ZrIn5 (PBE-GGA, Alexandria).

Properties
Crystal system: monoclinic
Energy relative to the elements: -271.7 meV/atom

abc: 16.351 6.522 5.905
angles: 90.00 93.33 90.00
Space group C2/m (No. 12)
Asymmetric unit:
Ce 0.000 0.245 0.000
Ce 0.170 0.274 0.357
Zr 0.000 0.500 0.500
In 0.000 0.000 0.500
In 0.165 0.500 0.846
In 0.168 0.000 0.853

***

# BeAl2Ir

An optimized crystal structure of BeAl2Ir (PBE-GGA, Alexandria).

Properties
Crystal system: orthorhombic
Energy relative to the elements: -434.9 meV/atom

abc: 2.949 3.383 5.297
angles: 90.00 90.00 90.00
Space group Pmmm (No. 47)
Asymmetric unit:
Be 0.000 0.000 0.000
Al 0.500 0.500 0.244
Ir 0.000 0.000 0.500

***

# RbUTe2

An optimized crystal structure of RbUTe2 (PBE-GGA, Alexandria).

Properties
Crystal system: tetragonal
VASP energy: -5.41 eV per atom

abc: 3.874 3.874 8.777
angles: 90.00 90.00 90.00
Space group P4/mmm (No. 123)
Asymmetric unit:
Rb 0.000 0.000 0.000
U 0.000 0.000 0.500
Te 0.500 0.500 0.297

***

# LaAlNi2

An optimized crystal structure of LaAlNi2 (PBE-GGA, Alexandria).

Properties
Crystal system: monoclinic
Energy relative to the elements: -380.7 meV/atom

abc: 7.125 4.108 5.698
angles: 90.00 113.67 90.00
Space group Cm (No. 8)
Asymmetric unit:
La 0.000 0.000 0.000
Al 0.300 0.500 0.415
Ni 0.001 0.500 0.519
Ni 0.194 0.000 0.603

***

# CeMn2GaGe4

An optimized crystal structure of CeMn2GaGe4 (PBE-GGA, Alexandria).

Properties
Crystal system: tetragonal
Energy relative to the elements: -91.5 meV/atom

abc: 4.681 4.681 6.495
angles: 90.00 90.00 90.00
Space group P4/mmm (No. 123)
Asymmetric unit:
Ce 0.000 0.000 0.000
Mn 0.500 0.500 0.151
Ga 0.000 0.000 0.500
Ge 0.000 0.500 0.296

***

# Cs2KF3

An optimized crystal structure of Cs2KF3 (PBE-GGA, Alexandria).

Properties
Crystal system: monoclinic
Energy above the most stable polymorph in this dataset: 0 meV/atom

abc: 13.250 5.895 8.262
angles: 90.00 108.17 90.00
Space group C2/c (No. 15)
Asymmetric unit:
Cs 0.166 0.000 0.083
K 0.000 0.499 0.250
F 0.000 0.004 0.250
F 0.147 0.499 0.073

***

# LaAsAuBr2

An optimized crystal structure of LaAsAuBr2 (PBE-GGA, Alexandria).

Properties
Crystal system: tetragonal
Energy above the most stable polymorph in this dataset: 0 meV/atom

abc: 5.166 5.166 5.342
angles: 90.00 90.00 90.00
Space group P4/mmm (No. 123)
Asymmetric unit:
La 0.000 0.000 0.000
As 0.500 0.500 0.000
Au 0.500 0.500 0.500
Br 0.000 0.500 0.500

***

# CsMg2ScI8

An optimized crystal structure of CsMg2ScI8 (PBE-GGA, Alexandria).

Properties
Crystal system: triclinic
VASP energy: -3.04 eV per atom

abc: 7.450 7.451 11.154
angles: 85.18 85.13 67.86
Space group P-1 (No. 2)
Asymmetric unit:
Cs 0.000 0.000 0.000
Mg 0.372 0.372 0.298
Sc 0.000 0.000 0.500
I 0.222 0.735 0.689
I 0.233 0.233 0.509
I 0.266 0.777 0.311
I 0.309 0.307 0.077

***

# Pa6Ga2Ir

An optimized crystal structure of Pa6Ga2Ir (PBE-GGA, Alexandria).

Properties
Crystal system: tetragonal
Energy relative to the elements: 302.6 meV/atom

abc: 5.798 5.798 15.153
angles: 90.00 90.00 90.00
Space group P4_2/mnm (No. 136)
Asymmetric unit:
Pa 0.161 0.161 0.163
Pa 0.166 0.166 0.500
Ga 0.000 0.000 0.332
Ir 0.000 0.000 0.000

***

# Cs3Hg12Au4

An optimized crystal structure of Cs3Hg12Au4 (PBE-GGA, Alexandria).

Properties
Crystal system: trigonal
Energy relative to the elements: -158.0 meV/atom

abc: 15.8091 15.8091 9.5318
angles: 90.00 90.00 120.00
Space group R-3m (No. 166, hexagonal axes)
Asymmetric unit:
Cs 0.0000 0.5000 0.0000
Hg 0.0000 0.2397 0.0000
Hg 0.0804 0.1608 0.6787
Au 0.0000 0.0000 0.5000
Au 0.0000 0.5000 0.5000

***

# La2TbSmY6

An optimized crystal structure of La2TbSmY6 (PBE-GGA, Alexandria).

Properties
Crystal system: monoclinic
Energy relative to the elements: 114.6 meV/atom

abc: 9.123 14.993 10.019
angles: 90.00 101.30 90.00
Space group C2/c (No. 15)
Asymmetric unit:
La 0.238 0.046 0.044
Tb 0.000 0.403 0.250
Sm 0.000 0.013 0.750
Y 0.074 0.191 0.443
Y 0.094 0.396 0.617
Y 0.200 0.221 0.813

***

Number 1: magnetization 0.0 μB per cell. Number 2: magnetization 7.3 μB per cell. Number 3: magnetization 0.0 μB per cell. Number 4: magnetization 3.0 μB per cell. Number 5: magnetization 0.0 μB per cell. Number 6: magnetization 0.2 μB per cell. Number 7: magnetization 0.4 μB per cell. Number 8: magnetization 0.2 μB per cell. Number 9: magnetization 0.0 μB per cell. Number 10: magnetization 0.0 μB per cell. Number 11: magnetization 0.0 μB per cell. Number 12: magnetization 0.0 μB per cell.